Density functional theory data (GGA+U) for a geometry-optimized NiAsN2O structure.

a = 3.7691 Å, b = 3.7691 Å, c = 3.7016 Å
α = 90.00°, β = 90.00°, γ = 90.00°
Atoms (fractional coordinates):
1 Ni 0.0000 0.0000 0.0000
2 As 0.5000 0.5000 0.5000
3 N 0.0000 0.5000 0.5000
4 N 0.5000 0.0000 0.5000
5 O 0.5000 0.5000 0.0000

Computed properties:
crystal system = tetragonal
magnetization = 2.7 μB/f.u.
DFT total energy = -23.655 eV per cell